First-principles (PBE+U) data for crystalline ThV2O6 at its relaxed geometry, as listed in the Alexandria database.

Structure (extended XYZ):
```
18
Lattice="4.813 0.000 0.000 0.000 4.813 0.000 0.000 0.000 9.714" Properties=species:S:1:pos:R:3 pbc="T T T"
O 1.568 1.568 0.000
O 1.322 1.322 3.067
O 1.085 3.728 1.790
O 0.839 3.975 4.857
O 3.975 0.839 4.857
O 3.728 1.085 1.790
O 3.492 3.492 3.067
O 3.728 1.085 7.923
O 1.322 1.322 6.647
O 3.245 3.245 0.000
O 3.492 3.492 6.647
O 1.085 3.728 7.923
V 0.000 0.000 6.429
V 2.407 2.407 1.572
V 2.407 2.407 8.142
V 0.000 0.000 3.285
Th 2.407 2.407 4.857
Th 0.000 0.000 0.000
```

Output
total magnetization = 0.222 μB/atom
energy = -8.2798 eV/atom